Entry 1:
YTiIO2 | PBE-GGA | relaxed

Cell: 4.076 4.076 5.448 Å, 90.00 90.00 90.00°
Fractional positions:
Y 0.000 0.000 0.000
Ti 0.500 0.500 0.500
I 0.500 0.500 0.000
O 0.000 0.500 0.500
O 0.500 0.000 0.500

Summary:
ΔE_f (raw) (eV per atom): -1.419
D(E_F) (states/eV per cell): 4.48
Size of the total moment (μB/cell): 0.59
SG: P4/mmm (123)
Relative energy among the computed polymorphs (meV/atom): 0.0



Entry 2:
YTiIO2 | PBE-GGA | relaxed

Cell: 4.350 4.350 6.105 Å, 90.00 90.00 90.00°
Fractional positions:
Y 0.000 0.000 0.000
Ti 0.500 0.500 0.500
I 0.000 0.000 0.500
O 0.000 0.500 0.000
O 0.500 0.000 0.000

Summary:
ΔE_f (raw) (eV per atom): -1.070
D(E_F) (states/eV per cell): 7.90
Size of the total moment (μB/cell): 1.99
SG: P4/mmm (123)
Relative energy among the computed polymorphs (meV/atom): 349.0



Entry 3:
TiZnI2O | PBE-GGA | relaxed

Cell: 5.690 5.690 3.675 Å, 90.00 90.00 90.00°
Fractional positions:
Ti 0.000 0.000 0.000
Zn 0.500 0.500 0.500
I 0.000 0.500 0.500
I 0.500 0.000 0.500
O 0.500 0.500 0.000

Summary:
ΔE_f (raw) (eV per atom): -0.125
D(E_F) (states/eV per cell): 4.15
Size of the total moment (μB/cell): 1.94
SG: P4/mmm (123)
Relative energy among the computed polymorphs (meV/atom): 768.5



Entry 4:
TiZnI2O | PBE-GGA | relaxed

Cell: 5.704 5.704 3.760 Å, 90.00 90.00 90.00°
Fractional positions:
Ti 0.000 0.000 0.000
Zn 0.500 0.500 0.500
I 0.000 0.500 0.000
I 0.500 0.000 0.000
O 0.000 0.000 0.500

Summary:
ΔE_f (raw) (eV per atom): -0.893
D(E_F) (states/eV per cell): 2.27
Size of the total moment (μB/cell): 0.00
SG: P4/mmm (123)
Relative energy among the computed polymorphs (meV/atom): 0.0



Entry 5:
Tl4I2O | PBE-GGA | relaxed

Cell: 7.196 7.370 10.336 Å, 90.00 104.91 90.00°
Fractional positions:
Tl 0.177 0.250 0.341
Tl 0.213 0.750 0.022
Tl 0.307 0.000 0.714
Tl 0.307 0.500 0.714
Tl 0.693 0.000 0.286
Tl 0.693 0.500 0.286
Tl 0.787 0.250 0.978
Tl 0.823 0.750 0.659
I 0.126 0.750 0.401
I 0.295 0.250 0.021
I 0.705 0.750 0.979
I 0.874 0.250 0.599
O 0.144 0.750 0.784
O 0.856 0.250 0.216

Summary:
ΔE_f (raw) (eV per atom): -0.639
D(E_F) (states/eV per cell): 0.00
Size of the total moment (μB/cell): 0.00
SG: P2_1/m (11)
Relative energy among the computed polymorphs (meV/atom): 0.0



Entry 6:
Tl6IO12 | PBE-GGA | relaxed

Cell: 6.585 6.585 6.585 Å, 97.60 97.60 97.60°
Fractional positions:
Tl 0.108 0.639 0.810
Tl 0.190 0.892 0.361
Tl 0.361 0.190 0.892
Tl 0.639 0.810 0.108
Tl 0.810 0.108 0.639
Tl 0.892 0.361 0.190
I 0.500 0.500 0.500
O 0.078 0.327 0.895
O 0.105 0.922 0.673
O 0.211 0.529 0.431
O 0.327 0.895 0.078
O 0.431 0.211 0.529
O 0.471 0.569 0.789
O 0.529 0.431 0.211
O 0.569 0.789 0.471
O 0.673 0.105 0.922
O 0.789 0.471 0.569
O 0.895 0.078 0.327
O 0.922 0.673 0.105

Summary:
ΔE_f (raw) (eV per atom): -0.612
D(E_F) (states/eV per cell): 1.31
Size of the total moment (μB/cell): 0.00
SG: R-3 (148)



Entry 7:
TlI2O2 | PBE-GGA | relaxed

Cell: 4.343 4.343 7.286 Å, 90.00 90.00 90.00°
Fractional positions:
Tl 0.000 0.000 0.000
I 0.000 0.000 0.500
I 0.500 0.500 0.500
O 0.000 0.500 0.000
O 0.500 0.000 0.000

Summary:
ΔE_f (raw) (eV per atom): 0.284
D(E_F) (states/eV per cell): 8.53
Size of the total moment (μB/cell): 0.00
SG: P4/mmm (123)
Relative energy among the computed polymorphs (meV/atom): 286.1



Entry 8:
TlI2O2 | PBE-GGA | relaxed

Cell: 4.648 4.648 6.427 Å, 90.00 90.00 90.00°
Fractional positions:
Tl 0.000 0.000 0.000
I 0.000 0.500 0.500
I 0.500 0.000 0.500
O 0.500 0.500 0.000
O 0.500 0.500 0.500

Summary:
ΔE_f (raw) (eV per atom): 0.362
D(E_F) (states/eV per cell): 5.17
Size of the total moment (μB/cell): 1.33
SG: P4/mmm (123)
Relative energy among the computed polymorphs (meV/atom): 363.8



Which formula does entry 5 have?
Tl4I2O